No. 1
# LiPmPd | the Alexandria database | GGA-PBE | optimized geometry
data_LiPmPd
_chemical_formula_sum 'Li1 Pm1 Pd1'
_cell_length_a 4.3872
_cell_length_b 4.3872
_cell_length_c 3.8200
_cell_angle_alpha 90.00
_cell_angle_beta 90.00
_cell_angle_gamma 120.00
_space_group_name_H-M_alt 'P -6 m 2'
_space_group_IT_number 187
_space_group_name_Hall 'P -6 2'
loop_
_atom_site_label
_atom_site_type_symbol
_atom_site_fract_x
_atom_site_fract_y
_atom_site_fract_z
Li1 Li 0.0000 0.0000 0.0000
Pm1 Pm 0.3333 0.6667 0.5000
Pd1 Pd 0.6667 0.3333 0.0000
# DOS at the Fermi energy = 1.8 states/eV per cell
# VASP energy = -4.416 eV per atom
# calculated density = 6.7 g/cm3
# energy of formation from the pure elements = -0.463 eV per atom

---

No. 2
# LiPm4Pd2 | the Alexandria database | GGA-PBE | optimized geometry
data_LiPm4Pd2
_chemical_formula_sum 'Li2 Pm8 Pd4'
_cell_length_a 6.995
_cell_length_b 7.130
_cell_length_c 8.922
_cell_angle_alpha 108.29
_cell_angle_beta 107.81
_cell_angle_gamma 102.32
_space_group_name_H-M_alt 'P 1'
_space_group_IT_number 1
_space_group_name_Hall 'P 1'
loop_
_atom_site_label
_atom_site_type_symbol
_atom_site_fract_x
_atom_site_fract_y
_atom_site_fract_z
Li1 Li 0.000 0.000 0.000
Li2 Li 0.223 0.731 0.446
Pm1 Pm 0.214 0.550 0.072
Pm2 Pm 0.318 0.148 0.781
Pm3 Pm 0.366 0.201 0.374
Pm4 Pm 0.455 0.663 0.769
Pm5 Pm 0.760 0.090 0.667
Pm6 Pm 0.760 0.331 0.204
Pm7 Pm 0.776 0.850 0.242
Pm8 Pm 0.908 0.615 0.674
Pd1 Pd 0.044 0.280 0.518
Pd2 Pd 0.381 0.950 0.041
Pd3 Pd 0.561 0.633 0.406
Pd4 Pd 0.748 0.487 0.927
# DOS at the Fermi energy = 14.6 states/eV per cell
# VASP energy = -4.880 eV per atom
# calculated density = 7.0 g/cm3
# energy of formation from the pure elements = -0.408 eV per atom

---

No. 3
# Li2Pm2Pd3 | the Alexandria database | GGA-PBE | optimized geometry
data_Li2Pm2Pd3
_chemical_formula_sum 'Li4 Pm4 Pd6'
_cell_length_a 8.577
_cell_length_b 4.948
_cell_length_c 7.576
_cell_angle_alpha 90.00
_cell_angle_beta 112.31
_cell_angle_gamma 90.00
_space_group_name_H-M_alt 'C 1 2/m 1'
_space_group_IT_number 12
_space_group_name_Hall '-C 2y'
loop_
_atom_site_label
_atom_site_type_symbol
_atom_site_fract_x
_atom_site_fract_y
_atom_site_fract_z
Li1 Li 0.132 0.000 0.396
Pm1 Pm 0.108 0.500 0.825
Pd1 Pd 0.000 0.000 0.000
Pd2 Pd 0.246 0.500 0.239
# DOS at the Fermi energy = 6.5 states/eV per cell
# VASP energy = -4.694 eV per atom
# calculated density = 7.0 g/cm3
# energy of formation from the pure elements = -0.565 eV per atom

---

No. 4
# LiPmPd | the Alexandria database | GGA-PBE | optimized geometry
data_LiPmPd
_chemical_formula_sum 'Li2 Pm2 Pd2'
_cell_length_a 3.626
_cell_length_b 3.626
_cell_length_c 9.634
_cell_angle_alpha 90.00
_cell_angle_beta 90.00
_cell_angle_gamma 90.00
_space_group_name_H-M_alt 'I 4 m m'
_space_group_IT_number 107
_space_group_name_Hall 'I 4 -2'
loop_
_atom_site_label
_atom_site_type_symbol
_atom_site_fract_x
_atom_site_fract_y
_atom_site_fract_z
Li1 Li 0.000 0.000 0.000
Pm1 Pm 0.000 0.000 0.296
Pd1 Pd 0.000 0.000 0.631
# DOS at the Fermi energy = 5.0 states/eV per cell
# VASP energy = -4.370 eV per atom
# calculated density = 6.8 g/cm3
# energy of formation from the pure elements = -0.417 eV per atom

---

No. 5
# Li4PmPd2 | the Alexandria database | GGA-PBE | optimized geometry
data_Li4PmPd2
_chemical_formula_sum 'Li8 Pm2 Pd4'
_cell_length_a 7.748
_cell_length_b 7.748
_cell_length_c 4.185
_cell_angle_alpha 90.00
_cell_angle_beta 90.00
_cell_angle_gamma 90.00
_space_group_name_H-M_alt 'P 42/m n m'
_space_group_IT_number 136
_space_group_name_Hall '-P 4n 2n'
loop_
_atom_site_label
_atom_site_type_symbol
_atom_site_fract_x
_atom_site_fract_y
_atom_site_fract_z
Li1 Li 0.097 0.347 0.000
Pm1 Pm 0.000 0.000 0.500
Pd1 Pd 0.208 0.792 0.000
# DOS at the Fermi energy = 7.7 states/eV per cell
# VASP energy = -3.656 eV per atom
# calculated density = 5.1 g/cm3
# energy of formation from the pure elements = -0.400 eV per atom

---

No. 6
# LiPm3Pd3 | the Alexandria database | GGA-PBE | optimized geometry
data_LiPm3Pd3
_chemical_formula_sum 'Li4 Pm12 Pd12'
_cell_length_a 4.211
_cell_length_b 10.648
_cell_length_c 14.266
_cell_angle_alpha 90.00
_cell_angle_beta 90.00
_cell_angle_gamma 90.00
_space_group_name_H-M_alt 'C m c m'
_space_group_IT_number 63
_space_group_name_Hall '-C 2c 2'
loop_
_atom_site_label
_atom_site_type_symbol
_atom_site_fract_x
_atom_site_fract_y
_atom_site_fract_z
Li1 Li 0.000 0.000 0.000
Pm1 Pm 0.000 0.026 0.250
Pm2 Pm 0.000 0.299 0.105
Pd1 Pd 0.000 0.254 0.750
Pd2 Pd 0.000 0.415 0.589
# DOS at the Fermi energy = 19.9 states/eV per cell
# VASP energy = -5.222 eV per atom
# calculated density = 7.9 g/cm3
# energy of formation from the pure elements = -0.687 eV per atom

---

No. 7
# Li2Pm2Pd3 | the Alexandria database | GGA-PBE | optimized geometry
data_Li2Pm2Pd3
_chemical_formula_sum 'Li4 Pm4 Pd6'
_cell_length_a 9.944
_cell_length_b 4.612
_cell_length_c 6.196
_cell_angle_alpha 90.00
_cell_angle_beta 100.58
_cell_angle_gamma 90.00
_space_group_name_H-M_alt 'C 1 2/m 1'
_space_group_IT_number 12
_space_group_name_Hall '-C 2y'
loop_
_atom_site_label
_atom_site_type_symbol
_atom_site_fract_x
_atom_site_fract_y
_atom_site_fract_z
Li1 Li 0.115 0.000 0.420
Pm1 Pm 0.138 0.500 0.808
Pd1 Pd 0.000 0.000 0.000
Pd2 Pd 0.167 0.500 0.278
# DOS at the Fermi energy = 7.3 states/eV per cell
# VASP energy = -4.706 eV per atom
# calculated density = 7.4 g/cm3
# energy of formation from the pure elements = -0.576 eV per atom

---

No. 8
# LiPm2Pd | the Alexandria database | GGA-PBE | optimized geometry
data_LiPm2Pd
_chemical_formula_sum 'Li3 Pm6 Pd3'
_cell_length_a 3.3587
_cell_length_b 3.3587
_cell_length_c 32.8087
_cell_angle_alpha 90.00
_cell_angle_beta 90.00
_cell_angle_gamma 120.00
_space_group_name_H-M_alt 'R -3 m'
_space_group_IT_number 166
_space_group_name_Hall '-R 3 2"'
loop_
_atom_site_label
_atom_site_type_symbol
_atom_site_fract_x
_atom_site_fract_y
_atom_site_fract_z
Li1 Li 0.0000 0.0000 0.0000
Pm1 Pm 0.0000 0.0000 0.4186
Pd1 Pd 0.0000 0.0000 0.5000
# DOS at the Fermi energy = 9.3 states/eV per cell
# VASP energy = -4.001 eV per atom
# calculated density = 6.3 g/cm3
# energy of formation from the pure elements = 0.151 eV per atom

---

No. 9
# LiPm4Pd3 | the Alexandria database | GGA-PBE | optimized geometry
data_LiPm4Pd3
_chemical_formula_sum 'Li1 Pm4 Pd3'
_cell_length_a 3.869
_cell_length_b 4.682
_cell_length_c 10.896
_cell_angle_alpha 90.00
_cell_angle_beta 90.00
_cell_angle_gamma 90.00
_space_group_name_H-M_alt 'P m m 2'
_space_group_IT_number 25
_space_group_name_Hall 'P 2 -2'
loop_
_atom_site_label
_atom_site_type_symbol
_atom_site_fract_x
_atom_site_fract_y
_atom_site_fract_z
Li1 Li 0.000 0.000 0.000
Pm1 Pm 0.000 0.000 0.302
Pm2 Pm 0.000 0.500 0.570
Pm3 Pm 0.500 0.000 0.783
Pm4 Pm 0.500 0.500 0.073
Pd1 Pd 0.000 0.500 0.858
Pd2 Pd 0.500 0.000 0.519
Pd3 Pd 0.500 0.500 0.350
# DOS at the Fermi energy = 6.6 states/eV per cell
# VASP energy = -5.143 eV per atom
# calculated density = 7.6 g/cm3
# energy of formation from the pure elements = -0.581 eV per atom

---

No. 10
# Li2Pm3Pd4 | the Alexandria database | GGA-PBE | optimized geometry
data_Li2Pm3Pd4
_chemical_formula_sum 'Li4 Pm6 Pd8'
_cell_length_a 10.299
_cell_length_b 4.278
_cell_length_c 8.794
_cell_angle_alpha 90.00
_cell_angle_beta 97.95
_cell_angle_gamma 90.00
_space_group_name_H-M_alt 'C 1 2/m 1'
_space_group_IT_number 12
_space_group_name_Hall '-C 2y'
loop_
_atom_site_label
_atom_site_type_symbol
_atom_site_fract_x
_atom_site_fract_y
_atom_site_fract_z
Li1 Li 0.184 0.000 0.287
Pm1 Pm 0.000 0.500 0.500
Pm2 Pm 0.120 0.000 0.878
Pd1 Pd 0.092 0.500 0.134
Pd2 Pd 0.212 0.000 0.589
# DOS at the Fermi energy = 12.2 states/eV per cell
# VASP energy = -4.949 eV per atom
# calculated density = 7.6 g/cm3
# energy of formation from the pure elements = -0.632 eV per atom

---

No. 11
# Li3Pm4Pd5 | the Alexandria database | GGA-PBE | optimized geometry
data_Li3Pm4Pd5
_chemical_formula_sum 'Li6 Pm8 Pd10'
_cell_length_a 13.759
_cell_length_b 4.480
_cell_length_c 11.226
_cell_angle_alpha 90.00
_cell_angle_beta 126.26
_cell_angle_gamma 90.00
_space_group_name_H-M_alt 'C 1 2/m 1'
_space_group_IT_number 12
_space_group_name_Hall '-C 2y'
loop_
_atom_site_label
_atom_site_type_symbol
_atom_site_fract_x
_atom_site_fract_y
_atom_site_fract_z
Li1 Li 0.000 0.000 0.000
Li2 Li 0.158 0.500 0.926
Pm1 Pm 0.034 0.000 0.318
Pm2 Pm 0.239 0.500 0.267
Pd1 Pd 0.000 0.500 0.000
Pd2 Pd 0.084 0.500 0.651
Pd3 Pd 0.195 0.500 0.511
# DOS at the Fermi energy = 16.7 states/eV per cell
# VASP energy = -4.685 eV per atom
# calculated density = 6.7 g/cm3
# energy of formation from the pure elements = -0.459 eV per atom

---

No. 12
# LiPm4Pd7 | the Alexandria database | GGA-PBE | optimized geometry
data_LiPm4Pd7
_chemical_formula_sum 'Li2 Pm8 Pd14'
_cell_length_a 15.541
_cell_length_b 4.387
_cell_length_c 9.051
_cell_angle_alpha 90.00
_cell_angle_beta 119.28
_cell_angle_gamma 90.00
_space_group_name_H-M_alt 'C 1 2/m 1'
_space_group_IT_number 12
_space_group_name_Hall '-C 2y'
loop_
_atom_site_label
_atom_site_type_symbol
_atom_site_fract_x
_atom_site_fract_y
_atom_site_fract_z
Li1 Li 0.000 0.000 0.000
Pm1 Pm 0.062 0.500 0.361
Pm2 Pm 0.200 0.500 0.099
Pd1 Pd 0.000 0.500 0.000
Pd2 Pd 0.090 0.000 0.836
Pd3 Pd 0.157 0.500 0.718
Pd4 Pd 0.213 0.000 0.546
# DOS at the Fermi energy = 14.4 states/eV per cell
# VASP energy = -5.292 eV per atom
# calculated density = 8.2 g/cm3
# energy of formation from the pure elements = -0.520 eV per atom